A) # Sr2CuRe

A relaxed structure of Sr2CuRe (GGA-PBE, Alexandria).

calculated volume	24.49	A^3/atom

abc: 3.074 3.738 8.524
angles: 90.00 90.00 90.00
Atoms (fractional coordinates):
Sr: 0.000 0.000 0.246
Sr: 0.000 0.000 0.754
Cu: 0.500 0.500 0.500
Re: 0.500 0.500 0.000

=====

B) # Sr2CuRe

A relaxed structure of Sr2CuRe (GGA-PBE, Alexandria).

calculated volume	24.85	A^3/atom

abc: 5.800 5.800 5.800
angles: 133.98 133.98 67.12
Atoms (fractional coordinates):
Sr: 0.000 0.000 0.000
Sr: 0.750 0.250 0.500
Cu: 0.250 0.750 0.500
Re: 0.500 0.500 0.000

=====

C) # Sr2CuRe

A relaxed structure of Sr2CuRe (GGA-PBE, Alexandria).

calculated volume	23.91	A^3/atom

abc: 5.133 5.133 5.133
angles: 60.00 60.00 60.00
Atoms (fractional coordinates):
Sr: 0.000 0.000 0.000
Sr: 0.250 0.250 0.250
Cu: 0.500 0.500 0.500
Re: 0.750 0.750 0.750

=====

Question: of the structures shown, which is the most stable? Reply: A).